(1)
Compound: TbPm3PrDy
Source: the Alexandria database
Functional: PBE
Structure: relaxed

a = 8.101 Å, b = 5.142 Å, c = 10.260 Å
α = 90.00°, β = 108.52°, γ = 90.00°
Space group P2_1/m (No. 11)
One atom of each set of equivalent atoms:
Tb 0.001 0.250 0.125
Pm 0.330 0.250 0.457
Pm 0.330 0.250 0.958
Pm 0.330 0.750 0.208
Pr 0.331 0.750 0.708
Dy 0.000 0.250 0.625

Values from the calculation:
crystal system	monoclinic
raw total energy	-4.692	eV/atom



(2)
Compound: Nd2DyTm
Source: the Alexandria database
Functional: PBE
Structure: relaxed

a = 3.611 Å, b = 3.611 Å, c = 10.103 Å
α = 90.00°, β = 90.00°, γ = 90.00°
Space group P4/mmm (No. 123)
One atom of each set of equivalent atoms:
Nd 0.000 0.000 0.248
Dy 0.500 0.500 0.500
Tm 0.500 0.500 0.000

Values from the calculation:
crystal system	tetragonal
raw total energy	-4.631	eV/atom



(3)
Compound: NaSbTe
Source: the Alexandria database
Functional: PBE
Structure: relaxed

a = 4.292 Å, b = 4.537 Å, c = 5.128 Å
α = 90.00°, β = 90.00°, γ = 90.00°
Space group Pmmm (No. 47)
One atom of each set of equivalent atoms:
Na 0.000 0.000 0.000
Sb 0.500 0.000 0.500
Te 0.000 0.500 0.500

Values from the calculation:
crystal system	orthorhombic
raw total energy	-3.142	eV/atom
formation energy (no corrections)	-0.28	eV/atom



What did the first record say?
Compound: TbPm3PrDy
Source: the Alexandria database
Functional: PBE
Structure: relaxed

a = 8.101 Å, b = 5.142 Å, c = 10.260 Å
α = 90.00°, β = 108.52°, γ = 90.00°
Space group P2_1/m (No. 11)
One atom of each set of equivalent atoms:
Tb 0.001 0.250 0.125
Pm 0.330 0.250 0.457
Pm 0.330 0.250 0.958
Pm 0.330 0.750 0.208
Pr 0.331 0.750 0.708
Dy 0.000 0.250 0.625

Values from the calculation:
crystal system	monoclinic
raw total energy	-4.692	eV/atom



Copy entry 2 word for word.
Compound: Nd2DyTm
Source: the Alexandria database
Functional: PBE
Structure: relaxed

a = 3.611 Å, b = 3.611 Å, c = 10.103 Å
α = 90.00°, β = 90.00°, γ = 90.00°
Space group P4/mmm (No. 123)
One atom of each set of equivalent atoms:
Nd 0.000 0.000 0.248
Dy 0.500 0.500 0.500
Tm 0.500 0.500 0.000

Values from the calculation:
crystal system	tetragonal
raw total energy	-4.631	eV/atom



Please write out number 2 again, unchanged.
Compound: Nd2DyTm
Source: the Alexandria database
Functional: PBE
Structure: relaxed

a = 3.611 Å, b = 3.611 Å, c = 10.103 Å
α = 90.00°, β = 90.00°, γ = 90.00°
Space group P4/mmm (No. 123)
One atom of each set of equivalent atoms:
Nd 0.000 0.000 0.248
Dy 0.500 0.500 0.500
Tm 0.500 0.500 0.000

Values from the calculation:
crystal system	tetragonal
raw total energy	-4.631	eV/atom